No. 1
Density functional theory data (PBE-GGA) for a relaxed structure of CuAg4I5.

Structure (POSCAR):
```
CuAg4I5
1.0
-3.953 1.470 -1.800
-3.798 -2.532 0.433
-6.688 8.599 15.866
I Ag Cu
5 4 1
Cartesian
-10.219 4.322 8.448 I
-5.943 0.985 2.174 I
-8.482 6.521 12.268 I
-7.807 -0.940 -1.145 I
-4.207 3.186 5.998 I
-10.832 5.660 10.886 Ag
-6.557 2.323 4.615 Ag
-4.820 4.524 8.437 Ag
-9.095 7.860 14.708 Ag
-8.375 0.300 1.115 Cu
```

Output
Crystal system: trigonal

---

No. 2
Density functional theory data (PBE-GGA) for a relaxed structure of CuAgI2.

Structure (POSCAR):
```
CuAgI2
1.0
-4.069 1.510 -0.643
-0.571 -3.720 -5.113
-3.319 -6.707 5.249
Cu I Ag
2 4 2
Cartesian
-2.051 -4.340 -3.264 Cu
-6.343 -6.867 2.996 Cu
-0.896 -0.147 -0.714 I
-3.916 -2.666 -2.487 I
-2.394 -3.113 1.860 I
-5.687 -6.177 0.515 I
-3.769 -7.943 -0.800 Ag
-4.657 -3.599 0.080 Ag
```

Output
Crystal system: monoclinic

---

No. 3
Density functional theory data (PBE-GGA) for a relaxed structure of CuAgI3.

Structure (POSCAR):
```
CuAgI3
1.0
-5.187 -4.655 -2.157
6.404 -2.534 2.407
-2.820 -0.225 7.267
I Cu Ag
6 2 2
Cartesian
-2.535 -1.654 1.221 I
0.040 -4.790 2.124 I
-5.472 -3.227 3.888 I
2.153 -1.832 6.891 I
1.431 -0.928 2.783 I
-1.643 -2.625 5.393 I
-1.969 -0.157 5.074 Cu
-0.851 -0.068 2.192 Cu
1.130 -3.354 4.519 Ag
-2.733 -4.061 2.997 Ag
```

Output
Crystal system: trigonal

---

No. 4
Density functional theory data (PBE-GGA) for a relaxed structure of CuAg2I4.

Structure (POSCAR):
```
CuAg2I4
1.0
-6.339 1.832 1.829
-2.397 -4.549 -3.751
0.212 -4.112 4.853
Cu I Ag
1 4 2
Cartesian
0.000 0.000 0.000 Cu
-5.260 -0.603 1.626 I
-6.446 -5.307 2.224 I
-3.379 -3.993 -1.329 I
-1.963 -3.756 3.343 I
0.106 -2.056 2.426 Ag
-1.198 -2.274 -1.875 Ag
```

Output
Crystal system: tetragonal

---

No. 5
Density functional theory data (PBE-GGA) for a relaxed structure of Cu2AgI.

Structure (POSCAR):
```
Cu2AgI
1.0
-3.005 5.045 -0.853
-4.366 -3.044 -2.623
-6.360 0.298 3.530
Ag I Cu
2 2 4
Cartesian
-3.685 1.001 -1.738 Ag
-7.206 -0.873 -0.415 Ag
0.000 0.000 0.000 I
-6.525 3.172 0.470 I
-11.212 1.980 -0.389 Cu
-7.541 0.969 1.340 Cu
-4.699 -1.189 -0.865 Cu
-4.009 2.839 0.023 Cu
```

Output
Crystal system: tetragonal

---

No. 6
Density functional theory data (PBE-GGA) for a relaxed structure of Cu3Ag4I12.

Structure (POSCAR):
```
Cu3Ag4I12
1.0
9.504 0.000 0.000
-3.168 8.961 0.000
-3.168 -4.480 7.760
I Ag Cu
12 4 3
Cartesian
-0.048 -2.309 6.467 I
-2.160 6.008 2.528 I
3.217 6.789 1.293 I
6.385 2.206 1.234 I
3.120 0.034 2.528 I
4.176 3.768 3.939 I
2.160 0.815 6.467 I
-3.217 2.274 6.526 I
1.008 3.665 1.293 I
5.329 -1.528 5.233 I
-1.008 0.713 3.821 I
0.048 4.446 5.233 I
1.584 2.240 3.880 Ag
4.752 0.000 0.000 Ag
-1.584 4.480 0.000 Ag
-1.584 -2.240 3.880 Ag
-3.168 2.240 3.880 Cu
3.168 4.480 0.000 Cu
3.168 -2.240 3.880 Cu
```

Output
Crystal system: cubic

---

No. 7
Density functional theory data (PBE-GGA) for a relaxed structure of Cu2Ag2I5.

Structure (POSCAR):
```
Cu2Ag2I5
1.0
-3.408 2.652 -0.264
-3.541 -1.237 -2.156
-9.189 -6.823 14.668
I Ag Cu
5 2 2
Cartesian
-5.876 -0.376 1.186 I
-8.947 -6.567 14.124 I
-12.280 -4.243 9.583 I
-8.710 -3.385 7.568 I
-9.725 -1.532 3.832 I
-8.658 -0.399 1.429 Ag
-7.032 -4.533 9.810 Ag
-7.757 -2.373 5.421 Cu
-13.250 -5.273 11.767 Cu
```

Output
Crystal system: trigonal

---

No. 8
Density functional theory data (PBE-GGA) for a relaxed structure of CuAgI6.

Structure (POSCAR):
```
CuAgI6
1.0
8.269 0.409 -0.296
4.567 7.511 -1.621
3.965 1.396 5.521
I Ag Cu
6 1 1
Cartesian
10.219 2.048 3.689 I
6.271 4.193 3.516 I
6.582 7.268 -0.086 I
10.531 5.123 0.087 I
6.790 2.369 0.847 I
10.011 6.947 2.757 I
8.401 4.658 1.802 Ag
0.000 0.000 0.000 Cu
```

Output
Crystal system: triclinic

---

| no. | E_form (uncorrected) (meV/atom) |
| --- | --- |
| 1 | -220.3 |
| 2 | -191.5 |
| 3 | -116.1 |
| 4 | -150.6 |
| 5 | 490.8 |
| 6 | -37.8 |
| 7 | -165.6 |
| 8 | -34.6 |